A plane-wave DFT calculation with GGA-PBE was carried out for crystalline TlPd3I at its relaxed geometry.

Cell and atoms, written as POSCAR:
```
TlPd3I
1.0
5.0693 0.0000 0.0000
0.0000 5.0693 0.0000
0.0000 0.0000 5.0693
Tl Pd I
1 3 1
Direct
0.0000 0.0000 0.0000
0.0000 0.5000 0.5000
0.5000 0.0000 0.5000
0.5000 0.5000 0.0000
0.5000 0.5000 0.5000
```

Magnetization = 0.00 Bohr magnetons per cell
Energy above the lowest structure with this stoichiometry = 0 meV/atom
Space group = Pm-3m (221)
E_form (uncorrected) = 0.32 eV per atom